Record 1
# PmHoPdPb

A relaxed PmHoPdPb crystal (GGA-PBE, Alexandria).

Summary:
**Electronic total energy**: -5.16 eV/atom
**Energy of formation from the pure elements**: -598 meV/atom
**Crystal system**: cubic

abc: 7.447 7.447 7.447
angles: 90.00 90.00 90.00
Space group F-43m (No. 216)
Inequivalent atoms, fractional coordinates:
1 Pm 0.000 0.000 0.000 [4 per cell]
2 Ho 0.000 0.000 0.500 [4 per cell]
3 Pd 0.250 0.250 0.750 [4 per cell]
4 Pb 0.250 0.250 0.250 [4 per cell]



Record 2
# PrHoPdPb

A relaxed PrHoPdPb crystal (GGA-PBE, Alexandria).

Summary:
**Electronic total energy**: -5.14 eV/atom
**Energy of formation from the pure elements**: -580 meV/atom
**Crystal system**: cubic

abc: 7.504 7.504 7.504
angles: 90.00 90.00 90.00
Space group F-43m (No. 216)
Inequivalent atoms, fractional coordinates:
1 Pr 0.000 0.000 0.000 [4 per cell]
2 Ho 0.000 0.000 0.500 [4 per cell]
3 Pd 0.250 0.250 0.750 [4 per cell]
4 Pb 0.250 0.250 0.250 [4 per cell]



Record 3
# HoPuPdPb

A relaxed HoPuPdPb crystal (GGA-PBE, Alexandria).

Summary:
**Electronic total energy**: -7.31 eV/atom
**Energy of formation from the pure elements**: -357 meV/atom
**Crystal system**: cubic

abc: 7.396 7.396 7.396
angles: 90.00 90.00 90.00
Space group F-43m (No. 216)
Inequivalent atoms, fractional coordinates:
1 Ho 0.000 0.000 0.000 [4 per cell]
2 Pu 0.000 0.000 0.500 [4 per cell]
3 Pd 0.250 0.250 0.750 [4 per cell]
4 Pb 0.250 0.250 0.250 [4 per cell]



Record 4
# HoSb2Pd7Pb2

A relaxed HoSb2Pd7Pb2 crystal (GGA-PBE, Alexandria).

Summary:
**Electronic total energy**: -5.19 eV/atom
**Uncorrected formation energy**: -0.48 eV per atom
**Crystal system**: monoclinic

abc: 5.782 5.785 15.280
angles: 90.00 95.40 90.00
Space group C2/m (No. 12)
Inequivalent atoms, fractional coordinates:
1 Ho 0.000 0.000 0.000 [2 per cell]
2 Sb 0.064 0.500 0.248 [4 per cell]
3 Pd 0.000 0.500 0.000 [2 per cell]
4 Pd 0.114 0.500 0.423 [4 per cell]
5 Pd 0.214 0.250 0.862 [8 per cell]
6 Pb 0.119 0.000 0.402 [4 per cell]



Record 5
# SmHoPdPb

A relaxed SmHoPdPb crystal (GGA-PBE, Alexandria).

Summary:
**Electronic total energy**: -5.15 eV/atom
**Energy of formation from the pure elements**: -602 meV/atom
**Crystal system**: cubic

abc: 7.428 7.428 7.428
angles: 90.00 90.00 90.00
Space group F-43m (No. 216)
Inequivalent atoms, fractional coordinates:
1 Sm 0.000 0.000 0.000 [4 per cell]
2 Ho 0.000 0.000 0.500 [4 per cell]
3 Pd 0.250 0.250 0.250 [4 per cell]
4 Pb 0.250 0.250 0.750 [4 per cell]



Record 6
# YHoPdPb

A relaxed YHoPdPb crystal (GGA-PBE, Alexandria).

Summary:
**Electronic total energy**: -5.61 eV/atom
**Energy of formation from the pure elements**: -628 meV/atom
**Crystal system**: cubic

abc: 7.358 7.358 7.358
angles: 90.00 90.00 90.00
Space group F-43m (No. 216)
Inequivalent atoms, fractional coordinates:
1 Y 0.000 0.000 0.000 [4 per cell]
2 Ho 0.000 0.000 0.500 [4 per cell]
3 Pd 0.250 0.250 0.250 [4 per cell]
4 Pb 0.250 0.250 0.750 [4 per cell]



Record 7
# HoZnPdPb

A relaxed HoZnPdPb crystal (GGA-PBE, Alexandria).

Summary:
**Electronic total energy**: -4.15 eV/atom
**Energy of formation from the pure elements**: -460 meV/atom
**Crystal system**: cubic

abc: 6.940 6.940 6.940
angles: 90.00 90.00 90.00
Space group F-43m (No. 216)
Inequivalent atoms, fractional coordinates:
1 Ho 0.000 0.000 0.000 [4 per cell]
2 Zn 0.250 0.250 0.250 [4 per cell]
3 Pd 0.250 0.250 0.750 [4 per cell]
4 Pb 0.000 0.000 0.500 [4 per cell]



Record 8
# HoZrPdPb

A relaxed HoZrPdPb crystal (GGA-PBE, Alexandria).

Summary:
**Electronic total energy**: -5.90 eV/atom
**Energy of formation from the pure elements**: -397 meV/atom
**Crystal system**: cubic

abc: 7.159 7.159 7.159
angles: 90.00 90.00 90.00
Space group F-43m (No. 216)
Inequivalent atoms, fractional coordinates:
1 Ho 0.000 0.000 0.000 [4 per cell]
2 Zr 0.000 0.000 0.500 [4 per cell]
3 Pd 0.250 0.250 0.750 [4 per cell]
4 Pb 0.250 0.250 0.250 [4 per cell]



Record 9
# Pm4Ho4Pb

A relaxed Pm4Ho4Pb crystal (GGA-PBE, Alexandria).

Summary:
**Electronic total energy**: -4.65 eV/atom
**Energy of formation from the pure elements**: -89 meV/atom
**Crystal system**: tetragonal

abc: 10.798 10.798 4.892
angles: 90.00 90.00 90.00
Space group I4/mmm (No. 139)
Inequivalent atoms, fractional coordinates:
1 Pm 0.000 0.333 0.000 [8 per cell]
2 Ho 0.162 0.162 0.500 [8 per cell]
3 Pb 0.000 0.000 0.000 [2 per cell]



Record 10
# PmHo2Pb9

A relaxed PmHo2Pb9 crystal (GGA-PBE, Alexandria).

Summary:
**Electronic total energy**: -4.23 eV/atom
**Energy of formation from the pure elements**: -292 meV/atom
**Crystal system**: tetragonal

abc: 4.892 4.892 14.641
angles: 90.00 90.00 90.00
Space group P4/mmm (No. 123)
Inequivalent atoms, fractional coordinates:
1 Pm 0.000 0.000 0.000 [1 per cell]
2 Ho 0.000 0.000 0.334 [2 per cell]
3 Pb 0.000 0.500 0.170 [4 per cell]
4 Pb 0.000 0.500 0.500 [2 per cell]
5 Pb 0.500 0.500 0.000 [1 per cell]
6 Pb 0.500 0.500 0.335 [2 per cell]



Record 11
# Pm2HoPb3

A relaxed Pm2HoPb3 crystal (GGA-PBE, Alexandria).

Summary:
**Electronic total energy**: -4.69 eV/atom
**Distance to the lowest polymorph of the same formula**: 0.000 eV/atom
**Energy of formation from the pure elements**: -487 meV/atom
**Crystal system**: monoclinic

abc: 17.303 6.494 6.451
angles: 90.00 101.19 90.00
Space group C2/c (No. 15)
Inequivalent atoms, fractional coordinates:
1 Pm 0.168 0.122 0.099 [8 per cell]
2 Ho 0.000 0.381 0.750 [4 per cell]
3 Pb 0.000 0.118 0.250 [4 per cell]
4 Pb 0.162 0.386 0.577 [8 per cell]



Record 12
# PmHo2Pb

A relaxed PmHo2Pb crystal (GGA-PBE, Alexandria).

Summary:
**Electronic total energy**: -4.48 eV/atom
**Distance to the lowest polymorph of the same formula**: 0.226 eV/atom
**Energy of formation from the pure elements**: -78 meV/atom
**Crystal system**: cubic

abc: 7.753 7.753 7.753
angles: 90.00 90.00 90.00
Space group Fm-3m (No. 225)
Inequivalent atoms, fractional coordinates:
1 Pm 0.000 0.000 0.000 [4 per cell]
2 Ho 0.250 0.250 0.250 [8 per cell]
3 Pb 0.000 0.000 0.500 [4 per cell]



Record 13
# Pm12Ho7Pb

A relaxed Pm12Ho7Pb crystal (GGA-PBE, Alexandria).

Summary:
**Electronic total energy**: -4.50 eV/atom
**Energy of formation from the pure elements**: 135 meV/atom
**Crystal system**: trigonal

abc: 12.2558 12.2558 15.3006
angles: 90.00 90.00 120.00
Space group R-3 (No. 148, hexagonal axes)
Inequivalent atoms, fractional coordinates:
1 Pm 0.0247 0.4457 0.2085 [18 per cell]
2 Pm 0.0573 0.5896 0.5861 [18 per cell]
3 Ho 0.0000 0.0000 0.0000 [3 per cell]
4 Ho 0.0488 0.1852 0.3044 [18 per cell]
5 Pb 0.0000 0.0000 0.5000 [3 per cell]



Record 14
# Pm12HoPb7

A relaxed Pm12HoPb7 crystal (GGA-PBE, Alexandria).

Summary:
**Electronic total energy**: -4.66 eV/atom
**Energy of formation from the pure elements**: -281 meV/atom
**Crystal system**: trigonal

abc: 15.8671 15.8671 8.9251
angles: 90.00 90.00 120.00
Space group R-3m (No. 166, hexagonal axes)
Inequivalent atoms, fractional coordinates:
1 Pm 0.0000 0.2768 0.0000 [18 per cell]
2 Pm 0.1094 0.5547 0.0523 [18 per cell]
3 Ho 0.0000 0.0000 0.0000 [3 per cell]
4 Pb 0.0000 0.0000 0.5000 [3 per cell]
5 Pb 0.1012 0.2023 0.7652 [18 per cell]



Record 15
# Pm3HoPb4

A relaxed Pm3HoPb4 crystal (GGA-PBE, Alexandria).

Summary:
**Electronic total energy**: -4.64 eV/atom
**Distance to the lowest polymorph of the same formula**: 0.052 eV/atom
**Energy of formation from the pure elements**: -427 meV/atom
**Crystal system**: orthorhombic

abc: 7.590 12.807 5.260
angles: 90.00 90.00 90.00
Space group Cmmm (No. 65)
Inequivalent atoms, fractional coordinates:
1 Pm 0.000 0.000 0.000 [2 per cell]
2 Pm 0.250 0.250 0.500 [4 per cell]
3 Ho 0.000 0.500 0.000 [2 per cell]
4 Pb 0.000 0.253 0.000 [4 per cell]
5 Pb 0.240 0.500 0.500 [4 per cell]



Record 16
# Pm2Ho2Pb

A relaxed Pm2Ho2Pb crystal (GGA-PBE, Alexandria).

Summary:
**Electronic total energy**: -4.29 eV/atom
**Energy of formation from the pure elements**: 180 meV/atom
**Crystal system**: tetragonal

abc: 4.414 4.414 17.251
angles: 90.00 90.00 90.00
Space group I4/mmm (No. 139)
Inequivalent atoms, fractional coordinates:
1 Pm 0.000 0.000 0.088 [4 per cell]
2 Ho 0.000 0.500 0.250 [4 per cell]
3 Pb 0.000 0.000 0.500 [2 per cell]



Record 17
# Pm3HoPb4

A relaxed Pm3HoPb4 crystal (GGA-PBE, Alexandria).

Summary:
**Electronic total energy**: -4.69 eV/atom
**Distance to the lowest polymorph of the same formula**: 0.000 eV/atom
**Energy of formation from the pure elements**: -479 meV/atom
**Crystal system**: monoclinic

abc: 18.758 5.090 5.094
angles: 90.00 105.56 90.00
Space group C2/m (No. 12)
Inequivalent atoms, fractional coordinates:
1 Pm 0.000 0.000 0.000 [2 per cell]
2 Pm 0.249 0.000 0.249 [4 per cell]
3 Ho 0.000 0.500 0.500 [2 per cell]
4 Pb 0.124 0.000 0.624 [4 per cell]
5 Pb 0.124 0.500 0.124 [4 per cell]



Record 18
# Pm3Ho2Pb3

A relaxed Pm3Ho2Pb3 crystal (GGA-PBE, Alexandria).

Summary:
**Electronic total energy**: -4.86 eV/atom
**Distance to the lowest polymorph of the same formula**: 0.000 eV/atom
**Energy of formation from the pure elements**: -548 meV/atom
**Crystal system**: hexagonal

abc: 9.2109 9.2109 6.7138
angles: 90.00 90.00 120.00
Space group P6_3/mcm (No. 193)
Inequivalent atoms, fractional coordinates:
1 Pm 0.0000 0.2392 0.2500 [6 per cell]
2 Ho 0.3333 0.6667 0.0000 [4 per cell]
3 Pb 0.0000 0.3975 0.7500 [6 per cell]



Record 19
# Pm7HoPb2

A relaxed Pm7HoPb2 crystal (GGA-PBE, Alexandria).

Summary:
**Electronic total energy**: -4.27 eV/atom
**Energy of formation from the pure elements**: 259 meV/atom
**Crystal system**: orthorhombic

abc: 9.345 15.986 5.538
angles: 90.00 90.00 90.00
Space group Cmmm (No. 65)
Inequivalent atoms, fractional coordinates:
1 Pm 0.000 0.000 0.000 [2 per cell]
2 Pm 0.000 0.277 0.500 [4 per cell]
3 Pm 0.181 0.380 0.000 [8 per cell]
4 Ho 0.000 0.500 0.500 [2 per cell]
5 Pb 0.000 0.195 0.000 [4 per cell]



Record 20
# Pm4HoPb3

A relaxed Pm4HoPb3 crystal (GGA-PBE, Alexandria).

Summary:
**Electronic total energy**: -4.68 eV/atom
**Energy of formation from the pure elements**: -339 meV/atom
**Crystal system**: monoclinic

abc: 9.355 5.429 10.313
angles: 90.00 107.42 90.00
Space group C2/m (No. 12)
Inequivalent atoms, fractional coordinates:
1 Pm 0.126 0.000 0.379 [4 per cell]
2 Pm 0.226 0.500 0.183 [4 per cell]
3 Ho 0.000 0.000 0.000 [2 per cell]
4 Pb 0.000 0.500 0.500 [2 per cell]
5 Pb 0.116 0.500 0.844 [4 per cell]



Record 21
# Pm5HoPb5

A relaxed Pm5HoPb5 crystal (GGA-PBE, Alexandria).

Summary:
**Electronic total energy**: -4.58 eV/atom
**Energy of formation from the pure elements**: -319 meV/atom
**Crystal system**: monoclinic

abc: 16.141 6.373 7.510
angles: 90.00 104.17 90.00
Space group C2/m (No. 12)
Inequivalent atoms, fractional coordinates:
1 Pm 0.000 0.000 0.000 [2 per cell]
2 Pm 0.161 0.500 0.319 [4 per cell]
3 Pm 0.169 0.500 0.823 [4 per cell]
4 Ho 0.000 0.000 0.500 [2 per cell]
5 Pb 0.000 0.500 0.500 [2 per cell]
6 Pb 0.165 0.000 0.838 [4 per cell]
7 Pb 0.166 0.000 0.349 [4 per cell]



Record 22
# PmHo4Pb5

A relaxed PmHo4Pb5 crystal (GGA-PBE, Alexandria).

Summary:
**Electronic total energy**: -4.49 eV/atom
**Energy of formation from the pure elements**: -326 meV/atom
**Crystal system**: tetragonal

abc: 9.967 9.967 6.304
angles: 90.00 90.00 90.00
Space group I4 (No. 79)
Inequivalent atoms, fractional coordinates:
1 Pm 0.000 0.000 0.000 [2 per cell]
2 Ho 0.103 0.702 0.498 [8 per cell]
3 Pb 0.000 0.000 0.500 [2 per cell]
4 Pb 0.099 0.695 0.998 [8 per cell]



Record 23
# PmHo4Pb4

A relaxed PmHo4Pb4 crystal (GGA-PBE, Alexandria).

Summary:
**Electronic total energy**: -4.42 eV/atom
**Energy of formation from the pure elements**: -214 meV/atom
**Crystal system**: tetragonal

abc: 10.007 10.007 6.182
angles: 90.00 90.00 90.00
Space group P4_2/n (No. 86, origin choice 2)
Inequivalent atoms, fractional coordinates:
1 Pm 0.250 0.250 0.250 [2 per cell]
2 Ho 0.092 0.650 0.158 [8 per cell]
3 Pb 0.036 0.620 0.666 [8 per cell]



For reference, calculated volume by record: 103.3 105.6 101.2 254.4 102.5 99.6 83.6 91.7 285.2 350.4 177.8 116.5 663.4 648.7 255.6 168.0 234.2 246.6 413.7 249.9 374.5 313.1 309.5 Å³/f.u..